# CrNiAuC | Alexandria | PBE | relaxed
# total DFT energy (no corrections)	-6.858	eV/atom
# crystal system	trigonal
# calculated volume	141.7	Å³/cell
# calculated formation energy	46	kJ/mol of formula units
# polymorph energy (0 for the lowest one)	0.000	eV/atom
data_CrNiAuC
_chemical_formula_sum 'Cr3 Ni3 Au3 C3'
_symmetry_space_group_name_H-M 'R 3 m'
_symmetry_Int_Tables_number 160
_symmetry_space_group_name_Hall 'R 3 -2"'
_cell_length_a 2.9051
_cell_length_b 2.9051
_cell_length_c 19.3878
_cell_angle_alpha 90.00
_cell_angle_beta 90.00
_cell_angle_gamma 120.00
loop_
_atom_site_label
_atom_site_type_symbol
_atom_site_fract_x
_atom_site_fract_y
_atom_site_fract_z
_atom_site_occupancy
Cr1 Cr 0.0000 0.0000 0.0000 1
Ni1 Ni 0.0000 0.0000 0.2306 1
Au1 Au 0.0000 0.0000 0.7822 1
C1 C 0.0000 0.0000 0.6164 1

# Al2Ag | Alexandria | PBE | relaxed
# total DFT energy (no corrections)	-3.220	eV/atom
# crystal system	hexagonal
# calculated volume	114.7	Å³/cell
# calculated formation energy	65	kJ/mol of formula units
data_Al2Ag
_chemical_formula_sum 'Al4 Ag2'
_symmetry_space_group_name_H-M 'P 63/m m c'
_symmetry_Int_Tables_number 194
_symmetry_space_group_name_Hall '-P 6c 2c'
_cell_length_a 4.3829
_cell_length_b 4.3829
_cell_length_c 6.8930
_cell_angle_alpha 90.00
_cell_angle_beta 90.00
_cell_angle_gamma 120.00
loop_
_atom_site_label
_atom_site_type_symbol
_atom_site_fract_x
_atom_site_fract_y
_atom_site_fract_z
_atom_site_occupancy
Al1 Al 0.3333 0.6667 0.0517 1
Ag1 Ag 0.0000 0.0000 0.2500 1

# CaPSe2 | Alexandria | PBE | relaxed
# total DFT energy (no corrections)	-4.141	eV/atom
# crystal system	trigonal
# energy relative to the elements, uncorrected	-2.18	eV/f.u.
# calculated volume	282.6	Å³/cell
data_CaPSe2
_chemical_formula_sum 'Ca3 P3 Se6'
_symmetry_space_group_name_H-M 'R -3 m'
_symmetry_Int_Tables_number 166
_symmetry_space_group_name_Hall '-R 3 2"'
_cell_length_a 4.1870
_cell_length_b 4.1870
_cell_length_c 18.6111
_cell_angle_alpha 90.00
_cell_angle_beta 90.00
_cell_angle_gamma 120.00
loop_
_atom_site_label
_atom_site_type_symbol
_atom_site_fract_x
_atom_site_fract_y
_atom_site_fract_z
_atom_site_occupancy
Ca1 Ca 0.0000 0.0000 0.0000 1
P1 P 0.0000 0.0000 0.5000 1
Se1 Se 0.0000 0.0000 0.2389 1

# Sb2Pd5 | Alexandria | PBE | relaxed
# total DFT energy (no corrections)	-5.257	eV/atom
# crystal system	monoclinic
# energy relative to the elements, uncorrected	-2.59	eV/f.u.
# calculated volume	490.2	Å³/cell
# polymorph energy (0 for the lowest one)	0.076	eV/atom
data_Sb2Pd5
_chemical_formula_sum 'Sb8 Pd20'
_symmetry_space_group_name_H-M 'C 1 2/c 1'
_symmetry_Int_Tables_number 15
_cell_length_a 13.484
_cell_length_b 4.895
_cell_length_c 7.443
_cell_angle_alpha 90.00
_cell_angle_beta 93.86
_cell_angle_gamma 90.00
loop_
_symmetry_equiv_pos_as_xyz
'x,y,z'
'-x,-y,-z'
'-x,y,-z+1/2'
'x,-y,z+1/2'
'x+1/2,y+1/2,z'
'-x+1/2,-y+1/2,-z'
'-x+1/2,y+1/2,-z+1/2'
'x+1/2,-y+1/2,z+1/2'
loop_
_atom_site_label
_atom_site_type_symbol
_atom_site_fract_x
_atom_site_fract_y
_atom_site_fract_z
_atom_site_occupancy
Sb1 Sb 0.098 0.199 0.101 1
Pd1 Pd 0.000 0.347 0.750 1
Pd2 Pd 0.140 0.309 0.460 1
Pd3 Pd 0.210 0.188 0.813 1

# MgVAgPb2 | Alexandria | PBE | relaxed
# total DFT energy (no corrections)	-3.039	eV/atom
# crystal system	tetragonal
# calculated volume	139.0	Å³/cell
# calculated formation energy	558	kJ/mol of formula units
data_MgVAgPb2
_chemical_formula_sum 'Mg1 V1 Ag1 Pb2'
_symmetry_space_group_name_H-M 'P 4/m m m'
_symmetry_Int_Tables_number 123
_symmetry_space_group_name_Hall '-P 4 2'
_cell_length_a 5.301
_cell_length_b 5.301
_cell_length_c 4.947
_cell_angle_alpha 90.00
_cell_angle_beta 90.00
_cell_angle_gamma 90.00
loop_
_atom_site_label
_atom_site_type_symbol
_atom_site_fract_x
_atom_site_fract_y
_atom_site_fract_z
_atom_site_occupancy
Mg1 Mg 0.000 0.000 0.000 1
V1 V 0.500 0.500 0.500 1
Ag1 Ag 0.000 0.000 0.500 1
Pb1 Pb 0.000 0.500 0.000 1

# Re3SbPd | Alexandria | PBE | relaxed
# total DFT energy (no corrections)	-6.901	eV/atom
# crystal system	cubic
# energy relative to the elements, uncorrected	12.16	eV/f.u.
# calculated volume	106.9	Å³/cell
# polymorph energy (0 for the lowest one)	0.000	eV/atom
data_Re3SbPd
_chemical_formula_sum 'Re3 Sb1 Pd1'
_symmetry_space_group_name_H-M 'P m -3 m'
_symmetry_Int_Tables_number 221
_symmetry_space_group_name_Hall '-P 4 2 3'
_cell_length_a 4.746
_cell_length_b 4.746
_cell_length_c 4.746
_cell_angle_alpha 90.00
_cell_angle_beta 90.00
_cell_angle_gamma 90.00
loop_
_atom_site_label
_atom_site_type_symbol
_atom_site_fract_x
_atom_site_fract_y
_atom_site_fract_z
_atom_site_occupancy
Re1 Re 0.000 0.000 0.500 1
Sb1 Sb 0.500 0.500 0.500 1
Pd1 Pd 0.000 0.000 0.000 1

# Ba2BeP | Alexandria | PBE | relaxed
# total DFT energy (no corrections)	-2.828	eV/atom
# crystal system	cubic
# calculated volume	464.6	Å³/cell
# calculated formation energy	161	kJ/mol of formula units
# polymorph energy (0 for the lowest one)	0.856	eV/atom
data_Ba2BeP
_chemical_formula_sum 'Ba8 Be4 P4'
_symmetry_space_group_name_H-M 'F -4 3 m'
_symmetry_Int_Tables_number 216
_symmetry_space_group_name_Hall 'F -4 2 3'
_cell_length_a 7.745
_cell_length_b 7.745
_cell_length_c 7.745
_cell_angle_alpha 90.00
_cell_angle_beta 90.00
_cell_angle_gamma 90.00
loop_
_atom_site_label
_atom_site_type_symbol
_atom_site_fract_x
_atom_site_fract_y
_atom_site_fract_z
_atom_site_occupancy
Ba1 Ba 0.000 0.000 0.000 1
Ba2 Ba 0.250 0.250 0.250 1
Be1 Be 0.000 0.000 0.500 1
P1 P 0.250 0.250 0.750 1

# CaEr5Pt6 | Alexandria | PBE | relaxed
# total DFT energy (no corrections)	-6.311	eV/atom
# crystal system	orthorhombic
# calculated volume	499.1	Å³/cell
# calculated formation energy	-1415	kJ/mol of formula units
data_CaEr5Pt6
_chemical_formula_sum 'Ca2 Er10 Pt12'
_symmetry_space_group_name_H-M 'C m m m'
_symmetry_Int_Tables_number 65
_symmetry_space_group_name_Hall '-C 2 2'
_cell_length_a 4.916
_cell_length_b 14.794
_cell_length_c 6.862
_cell_angle_alpha 90.00
_cell_angle_beta 90.00
_cell_angle_gamma 90.00
loop_
_atom_site_label
_atom_site_type_symbol
_atom_site_fract_x
_atom_site_fract_y
_atom_site_fract_z
_atom_site_occupancy
Ca1 Ca 0.000 0.000 0.000 1
Er1 Er 0.000 0.000 0.500 1
Er2 Er 0.000 0.334 0.500 1
Er3 Er 0.000 0.336 0.000 1
Pt1 Pt 0.000 0.173 0.252 1
Pt2 Pt 0.000 0.500 0.264 1

# TlRe2Ni | Alexandria | PBE | relaxed
# total DFT energy (no corrections)	-7.556	eV/atom
# crystal system	orthorhombic
# calculated volume	125.4	Å³/cell
# calculated formation energy	272	kJ/mol of formula units
# polymorph energy (0 for the lowest one)	0.186	eV/atom
data_TlRe2Ni
_chemical_formula_sum 'Tl2 Re4 Ni2'
_symmetry_space_group_name_H-M 'I m m 2'
_symmetry_Int_Tables_number 44
_cell_length_a 3.894
_cell_length_b 4.198
_cell_length_c 7.670
_cell_angle_alpha 90.00
_cell_angle_beta 90.00
_cell_angle_gamma 90.00
loop_
_symmetry_equiv_pos_as_xyz
'x,y,z'
'-x,-y,z'
'-x,y,z'
'x,-y,z'
'x+1/2,y+1/2,z+1/2'
'-x+1/2,-y+1/2,z+1/2'
'-x+1/2,y+1/2,z+1/2'
'x+1/2,-y+1/2,z+1/2'
loop_
_atom_site_label
_atom_site_type_symbol
_atom_site_fract_x
_atom_site_fract_y
_atom_site_fract_z
_atom_site_occupancy
Tl1 Tl 0.000 0.000 0.000 1
Re1 Re 0.000 0.000 0.506 1
Re2 Re 0.000 0.500 0.240 1
Ni1 Ni 0.000 0.500 0.748 1

# Ac4BiRh | Alexandria | PBE | relaxed
# total DFT energy (no corrections)	-5.107	eV/atom
# crystal system	monoclinic
# calculated volume	913.6	Å³/cell
# calculated formation energy	-287	kJ/mol of formula units
data_Ac4BiRh
_chemical_formula_sum 'Ac16 Bi4 Rh4'
_symmetry_space_group_name_H-M 'C 1 2/c 1'
_symmetry_Int_Tables_number 15
_cell_length_a 17.131
_cell_length_b 6.845
_cell_length_c 8.135
_cell_angle_alpha 90.00
_cell_angle_beta 106.71
_cell_angle_gamma 90.00
loop_
_symmetry_equiv_pos_as_xyz
'x,y,z'
'-x,-y,-z'
'-x,y,-z+1/2'
'x,-y,z+1/2'
'x+1/2,y+1/2,z'
'-x+1/2,-y+1/2,-z'
'-x+1/2,y+1/2,-z+1/2'
'x+1/2,-y+1/2,z+1/2'
loop_
_atom_site_label
_atom_site_type_symbol
_atom_site_fract_x
_atom_site_fract_y
_atom_site_fract_z
_atom_site_occupancy
Ac1 Ac 0.086 0.105 0.447 1
Ac2 Ac 0.179 0.412 0.145 1
Bi1 Bi 0.000 0.372 0.750 1
Rh1 Rh 0.250 0.250 0.500 1

# Sr2YAs | Alexandria | PBE | relaxed
# total DFT energy (no corrections)	-3.970	eV/atom
# crystal system	tetragonal
# calculated volume	678.2	Å³/cell
# calculated formation energy	-135	kJ/mol of formula units
data_Sr2YAs
_chemical_formula_sum 'Sr8 Y4 As4'
_symmetry_space_group_name_H-M 'I -4 2 d'
_symmetry_Int_Tables_number 122
_symmetry_space_group_name_Hall 'I -4 2bw'
_cell_length_a 11.009
_cell_length_b 11.009
_cell_length_c 5.595
_cell_angle_alpha 90.00
_cell_angle_beta 90.00
_cell_angle_gamma 90.00
loop_
_atom_site_label
_atom_site_type_symbol
_atom_site_fract_x
_atom_site_fract_y
_atom_site_fract_z
_atom_site_occupancy
Sr1 Sr 0.118 0.250 0.125 1
Y1 Y 0.000 0.000 0.500 1
As1 As 0.000 0.000 0.000 1

# CaScAl | Alexandria | PBE | relaxed
# total DFT energy (no corrections)	-3.948	eV/atom
# crystal system	cubic
# calculated volume	356.7	Å³/cell
# calculated formation energy	22	kJ/mol of formula units
# polymorph energy (0 for the lowest one)	0.260	eV/atom
data_CaScAl
_chemical_formula_sum 'Ca4 Sc4 Al4'
_symmetry_space_group_name_H-M 'F -4 3 m'
_symmetry_Int_Tables_number 216
_symmetry_space_group_name_Hall 'F -4 2 3'
_cell_length_a 7.092
_cell_length_b 7.092
_cell_length_c 7.092
_cell_angle_alpha 90.00
_cell_angle_beta 90.00
_cell_angle_gamma 90.00
loop_
_atom_site_label
_atom_site_type_symbol
_atom_site_fract_x
_atom_site_fract_y
_atom_site_fract_z
_atom_site_occupancy
Ca1 Ca 0.000 0.000 0.000 1
Sc1 Sc 0.000 0.000 0.500 1
Al1 Al 0.250 0.250 0.750 1